Arrangement a

# Be2TcCl GGA-PBE relaxed
data_Be2TcCl
_chemical_formula_sum 'Be2 Tc1 Cl1'
_space_group_name_H-M_alt 'P 1'
_space_group_IT_number 1
_cell_length_a 2.792
_cell_length_b 2.792
_cell_length_c 9.665
_cell_angle_alpha 90.00
_cell_angle_beta 90.00
_cell_angle_gamma 120.07
loop_
_space_group_symop_operation_xyz
'x,y,z'
loop_
_atom_site_label
_atom_site_fract_x
_atom_site_fract_y
_atom_site_fract_z
_atom_site_occupancy
Be1 0.000 0.000 0.038 1
Be2 0.500 0.500 0.238 1
Tc1 0.500 0.500 0.840 1
Cl1 0.000 0.000 0.384 1
# Space-group type   Cmm2, No. 35

Arrangement b

# Be2TcCl GGA-PBE relaxed
data_Be2TcCl
_chemical_formula_sum 'Be2 Tc1 Cl1'
_space_group_name_H-M_alt 'P 1'
_space_group_IT_number 1
_cell_length_a 2.924
_cell_length_b 3.151
_cell_length_c 7.229
_cell_angle_alpha 90.81
_cell_angle_beta 90.00
_cell_angle_gamma 90.00
loop_
_space_group_symop_operation_xyz
'x,y,z'
loop_
_atom_site_label
_atom_site_fract_x
_atom_site_fract_y
_atom_site_fract_z
_atom_site_occupancy
Be1 0.000 0.997 0.015 1
Be2 0.500 0.503 0.200 1
Tc1 0.500 0.493 0.894 1
Cl1 0.000 0.507 0.392 1
# Space-group type   Pm, No. 6

What should be chosen as the most stable of them? Choose arrangement b.

Arrangement a

# TlHSe GGA-PBE relaxed
data_TlHSe
_chemical_formula_sum 'Tl2 H2 Se2'
_space_group_name_H-M_alt 'P 1'
_space_group_IT_number 1
_cell_length_a 3.623
_cell_length_b 7.029
_cell_length_c 6.696
_cell_angle_alpha 66.41
_cell_angle_beta 74.31
_cell_angle_gamma 75.07
loop_
_space_group_symop_operation_xyz
'x,y,z'
loop_
_atom_site_label
_atom_site_fract_x
_atom_site_fract_y
_atom_site_fract_z
_atom_site_occupancy
H1 0.389 0.959 0.262 1
H2 0.814 0.186 0.186 1
Tl1 0.993 0.412 0.602 1
Tl2 0.653 0.903 0.791 1
Se1 0.280 0.529 0.912 1
Se2 0.895 0.951 0.260 1
# Space-group type   Cm, No. 8

Arrangement b

# TlHSe GGA-PBE relaxed
data_TlHSe
_chemical_formula_sum 'Tl2 H2 Se2'
_space_group_name_H-M_alt 'P 1'
_space_group_IT_number 1
_cell_length_a 6.502
_cell_length_b 4.543
_cell_length_c 16.522
_cell_angle_alpha 53.57
_cell_angle_beta 91.20
_cell_angle_gamma 135.80
loop_
_space_group_symop_operation_xyz
'x,y,z'
loop_
_atom_site_label
_atom_site_fract_x
_atom_site_fract_y
_atom_site_fract_z
_atom_site_occupancy
Tl1 0.696 0.464 0.579 1
Tl2 0.227 0.560 0.200 1
H1 0.380 0.849 0.930 1
H2 0.544 0.175 0.848 1
Se1 0.562 0.223 0.286 1
Se2 0.361 0.801 0.492 1
# Space-group type   P-1, No. 2

What should be chosen as the most stable of them? Choose arrangement b.

Arrangement a

# SrCd2W GGA-PBE relaxed
data_SrCd2W
_chemical_formula_sum 'Sr1 Cd2 W1'
_space_group_name_H-M_alt 'P 1'
_space_group_IT_number 1
_cell_length_a 5.154
_cell_length_b 5.154
_cell_length_c 5.154
_cell_angle_alpha 60.00
_cell_angle_beta 60.00
_cell_angle_gamma 60.00
loop_
_space_group_symop_operation_xyz
'x,y,z'
loop_
_atom_site_label
_atom_site_fract_x
_atom_site_fract_y
_atom_site_fract_z
_atom_site_occupancy
Sr1 0.000 0.000 0.000 1
W1 0.500 0.500 0.500 1
Cd1 0.250 0.250 0.250 1
Cd2 0.750 0.750 0.750 1
# Space-group type   Fm-3m, No. 225

Arrangement b

# SrCd2W GGA-PBE relaxed
data_SrCd2W
_chemical_formula_sum 'Sr1 Cd2 W1'
_space_group_name_H-M_alt 'P 1'
_space_group_IT_number 1
_cell_length_a 5.729
_cell_length_b 5.729
_cell_length_c 5.614
_cell_angle_alpha 76.54
_cell_angle_beta 76.54
_cell_angle_gamma 30.70
loop_
_space_group_symop_operation_xyz
'x,y,z'
loop_
_atom_site_label
_atom_site_fract_x
_atom_site_fract_y
_atom_site_fract_z
_atom_site_occupancy
Cd1 0.997 0.997 0.036 1
Cd2 0.738 0.738 0.747 1
Sr1 0.502 0.502 0.516 1
W1 0.263 0.263 0.200 1
# Space-group type   Cm, No. 8

What should be chosen as the most stable of them? Choose arrangement b.